# GGA-PBE Al2Tl4Au5, relaxed
data_Al2Tl4Au5
_cell_length_a 8.701
_cell_length_b 22.026
_cell_length_c 5.525
_cell_angle_alpha 90.00
_cell_angle_beta 90.00
_cell_angle_gamma 90.00
_symmetry_space_group_name_H-M 'I b a m'
_symmetry_Int_Tables_number 72
_symmetry_space_group_name_Hall '-I 2 2c'
loop_
_atom_site_label
_atom_site_type_symbol
_atom_site_fract_x
_atom_site_fract_y
_atom_site_fract_z
Al1 Al 0.000 0.212 0.250
Tl1 Tl 0.093 0.375 0.000
Tl2 Tl 0.193 0.037 0.000
Au1 Au 0.000 0.500 0.250
Au2 Au 0.074 0.114 0.500
Au3 Au 0.241 0.250 0.000
# ΔE_f = -0.114 eV per atom
# Uncorrected energy = -138.350 eV per cell